(1)
ReIrRh (PBE, optimized geometry); energy above the lowest structure with this stoichiometry = 0.523 eV/atom; energy of formation from the pure elements = 375.4 meV/atom
1.0
0.000 2.958 2.958
2.958 0.000 2.958
2.958 2.958 0.000
Rh Ir Re
1 1 1
Direct
0.000 0.000 0.000
0.500 0.500 0.500
0.250 0.250 0.250


(2)
CaDyCdBi (PBE, optimized geometry); energy of formation from the pure elements = -430.4 meV/atom
1.0
-2.926 4.065 2.179
-5.100 0.923 -1.725
-4.233 -1.126 3.263
Cd Bi Ca Dy
1 1 1 1
Direct
0.750 0.750 0.750
0.250 0.250 0.250
0.000 0.000 0.000
0.500 0.500 0.500


(3)
Ti3ZnIn (PBE, optimized geometry); energy above the lowest structure with this stoichiometry = 0.000 eV/atom; energy of formation from the pure elements = -107.3 meV/atom
1.0
4.207 0.000 -1.350
-0.167 5.746 -0.520
-0.013 1.014 7.189
Ti In Zn
6 2 2
Direct
0.398 0.475 0.796
0.196 0.753 0.393
0.002 0.267 0.005
0.998 0.733 0.995
0.602 0.525 0.204
0.804 0.247 0.607
0.611 0.019 0.223
0.389 0.981 0.777
0.198 0.284 0.396
0.802 0.716 0.604


Number 1: ρ 15.44 Mg/m³. Number 2: ρ 7.55 Mg/m³. Number 3: ρ 6.11 Mg/m³.